<i>
The following is a PBE calculation of a relaxed structure of Ti2VGa2, from the Alexandria database.

The structure belongs to space group Immm (No. 71); the cell edges are 3.498, 6.050 and 7.531 Å and the angles 90.00°, 90.00° and 90.00°. Symmetry generates all atoms from Ti at (0.000, 0.000, 0.230), V at (0.000, 0.500, 0.000) and Ga at (0.000, 0.299, 0.500).

For the density of states at the Fermi level, the calculation gives 0.815 states/eV per atom. The calculated volume comes out at 15.9 Å³ per atom.

***

<ii>
The following is a PBE calculation of a relaxed structure of Ti2VGa2, from the Alexandria database.

The structure belongs to space group P4/mbm (No. 127); the cell edges are 6.772, 6.772 and 3.472 Å and the angles 90.00°, 90.00° and 90.00°. Symmetry generates all atoms from Ti at (0.174, 0.326, 0.000), V at (0.000, 0.000, 0.500) and Ga at (0.130, 0.630, 0.500).

For the density of states at the Fermi level, the calculation gives 1.094 states/eV per atom. The calculated volume comes out at 15.9 Å³ per atom.

***

<iii>
The following is a PBE calculation of a relaxed structure of Ti2VGa2, from the Alexandria database.

The structure belongs to space group Cmc2_1 (No. 36); the cell edges are 4.299, 13.379 and 5.363 Å and the angles 90.00°, 90.00° and 90.00°. Symmetry generates all atoms from Ti at (0.000, 0.008, 0.000), Ti at (0.000, 0.192, 0.509), V at (0.000, 0.394, 0.242), Ga at (0.000, 0.202, 0.998) and Ga at (0.000, 0.403, 0.754).

For the density of states at the Fermi level, the calculation gives 0.843 states/eV per atom. The calculated volume comes out at 15.4 Å³ per atom.

***

Stability ranking, top entry: <ii>; the second entry is 3.3 kJ/mol of atoms less favorable.

***

<i>
The following is a PBE calculation of a relaxed structure of TiGa2W, from the Alexandria database.

The structure belongs to space group Fm-3m (No. 225); the cell edges are 6.285, 6.285 and 6.285 Å and the angles 90.00°, 90.00° and 90.00°. Symmetry generates all atoms from Ti at (0.000, 0.000, 0.000), Ga at (0.250, 0.250, 0.250) and W at (0.000, 0.000, 0.500).

For the density of states at the Fermi level, the calculation gives 1.418 states/eV per atom. The calculated volume comes out at 15.5 Å³ per atom.

***

<ii>
The following is a PBE calculation of a relaxed structure of TiGa2W, from the Alexandria database.

The structure belongs to space group R-3m (No. 166, hexagonal axes); the cell edges are 2.8213, 2.8213 and 29.5935 Å and the angles 90.00°, 90.00° and 120.00°. Symmetry generates all atoms from Ti at (0.0000, 0.0000, 0.0000), Ga at (0.0000, 0.0000, 0.4104) and W at (0.0000, 0.0000, 0.5000).

For the density of states at the Fermi level, the calculation gives 1.021 states/eV per atom. The calculated volume comes out at 17.0 Å³ per atom.

***

<iii>
The following is a PBE calculation of a relaxed structure of TiGa2W, from the Alexandria database.

The structure belongs to space group I-42d (No. 122); the cell edges are 7.007, 7.007 and 5.468 Å and the angles 90.00°, 90.00° and 90.00°. Symmetry generates all atoms from Ti at (0.000, 0.000, 0.000), Ga at (0.248, 0.750, 0.625) and W at (0.000, 0.000, 0.500).

For the density of states at the Fermi level, the calculation gives 0.140 states/eV per atom. The calculated volume comes out at 16.8 Å³ per atom.

***

<iv>
The following is a PBE calculation of a relaxed structure of TiGa2W, from the Alexandria database.

The structure belongs to space group P4/mmm (No. 123); the cell edges are 3.861, 3.861 and 4.143 Å and the angles 90.00°, 90.00° and 90.00°. Symmetry generates all atoms from Ti at (0.000, 0.000, 0.000), Ga at (0.000, 0.500, 0.500) and W at (0.500, 0.500, 0.000).

For the density of states at the Fermi level, the calculation gives 0.481 states/eV per atom. The calculated volume comes out at 15.4 Å³ per atom.

***

Stability ranking, top entry: <iv>; the second entry is 14.7 kJ/mol of atoms less favorable.

***

<i>
The following is a PBE calculation of a relaxed structure of Y2Ti2Ga, from the Alexandria database.

The structure belongs to space group I4/mmm (No. 139); the cell edges are 4.231, 4.231 and 13.372 Å and the angles 90.00°, 90.00° and 90.00°. Symmetry generates all atoms from Y at (0.000, 0.500, 0.250), Ti at (0.000, 0.000, 0.075) and Ga at (0.000, 0.000, 0.500).

For the density of states at the Fermi level, the calculation gives 1.156 states/eV per atom. The calculated volume comes out at 23.9 Å³ per atom.

***

<ii>
The following is a PBE calculation of a relaxed structure of Y2Ti2Ga, from the Alexandria database.

The structure belongs to space group P4/mbm (No. 127); the cell edges are 7.048, 7.048 and 4.588 Å and the angles 90.00°, 90.00° and 90.00°. Symmetry generates all atoms from Y at (0.165, 0.335, 0.000), Ti at (0.136, 0.636, 0.500) and Ga at (0.000, 0.000, 0.500).

For the density of states at the Fermi level, the calculation gives 1.147 states/eV per atom. The calculated volume comes out at 22.8 Å³ per atom.

***

Stability ranking, top entry: <ii>; the second entry is 59.6 kJ/mol of atoms less favorable.

***

<i>
The following is a PBE calculation of a relaxed structure of YTi2Ga2, from the Alexandria database.

The structure belongs to space group I4/mmm (No. 139); the cell edges are 4.392, 4.392 and 10.666 Å and the angles 90.00°, 90.00° and 90.00°. Symmetry generates all atoms from Y at (0.000, 0.000, 0.000), Ti at (0.000, 0.000, 0.381) and Ga at (0.000, 0.500, 0.250).

For the density of states at the Fermi level, the calculation gives 0.473 states/eV per atom. The calculated volume comes out at 20.6 Å³ per atom.

***

<ii>
The following is a PBE calculation of a relaxed structure of YTi2Ga2, from the Alexandria database.

The structure belongs to space group I4/mmm (No. 139); the cell edges are 4.043, 4.043 and 12.102 Å and the angles 90.00°, 90.00° and 90.00°. Symmetry generates all atoms from Y at (0.000, 0.000, 0.000), Ti at (0.000, 0.500, 0.250) and Ga at (0.000, 0.000, 0.397).

For the density of states at the Fermi level, the calculation gives 0.980 states/eV per atom. The calculated volume comes out at 19.8 Å³ per atom.

***

<iii>
The following is a PBE calculation of a relaxed structure of YTi2Ga2, from the Alexandria database.

The structure belongs to space group P4/mbm (No. 127); the cell edges are 7.634, 7.634 and 3.225 Å and the angles 90.00°, 90.00° and 90.00°. Symmetry generates all atoms from Y at (0.000, 0.000, 0.000), Ti at (0.175, 0.325, 0.500) and Ga at (0.122, 0.622, 0.000).

For the density of states at the Fermi level, the calculation gives 0.946 states/eV per atom. The calculated volume comes out at 18.8 Å³ per atom.

***

Stability ranking, top entry: <ii>; the second entry is 8.4 kJ/mol of atoms less favorable.

***

<i>
The following is a PBE calculation of a relaxed structure of YTi3Ga, from the Alexandria database.

The structure belongs to space group Pm-3m (No. 221); the cell edges are 4.827, 4.827 and 4.827 Å and the angles 90.00°, 90.00° and 90.00°. Symmetry generates all atoms from Y at (0.000, 0.000, 0.000), Ti at (0.000, 0.000, 0.500) and Ga at (0.500, 0.500, 0.500).

For the density of states at the Fermi level, the calculation gives 1.205 states/eV per atom. The calculated volume comes out at 22.5 Å³ per atom.

***

<ii>
The following is a PBE calculation of a relaxed structure of YTi3Ga, from the Alexandria database.

The structure belongs to space group Pm-3m (No. 221); the cell edges are 4.859, 4.859 and 4.859 Å and the angles 90.00°, 90.00° and 90.00°. Symmetry generates all atoms from Y at (0.000, 0.000, 0.000), Ti at (0.000, 0.500, 0.500) and Ga at (0.500, 0.500, 0.500).

For the density of states at the Fermi level, the calculation gives 1.094 states/eV per atom. The calculated volume comes out at 22.9 Å³ per atom.

***

Stability ranking, top entry: <ii>; the second entry is 98.4 kJ/mol of atoms less favorable.

***

<i>
The following is a PBE calculation of a relaxed structure of Ti5ZnGa4, from the Alexandria database.

The structure belongs to space group P4/mmm (No. 123); the cell edges are 2.819, 2.819 and 19.720 Å and the angles 90.00°, 90.00° and 90.00°. Symmetry generates all atoms from Ti at (0.000, 0.000, 0.000), Ti at (0.000, 0.000, 0.201), Ti at (0.000, 0.000, 0.400), Zn at (0.500, 0.500, 0.500), Ga at (0.500, 0.500, 0.101) and Ga at (0.500, 0.500, 0.301).

For the density of states at the Fermi level, the calculation gives 1.024 states/eV per atom. The calculated volume comes out at 15.7 Å³ per atom.

***

<ii>
The following is a PBE calculation of a relaxed structure of Ti5ZnGa4, from the Alexandria database.

The structure belongs to space group I4 (No. 79); the cell edges are 7.962, 7.962 and 5.403 Å and the angles 90.00°, 90.00° and 90.00°. Symmetry generates all atoms from Ti at (0.000, 0.000, 0.000), Ti at (0.076, 0.688, 0.236), Zn at (0.000, 0.000, 0.469) and Ga at (0.098, 0.739, 0.737).

For the density of states at the Fermi level, the calculation gives 1.073 states/eV per atom. The calculated volume comes out at 17.1 Å³ per atom.

***

Stability ranking, top entry: <i>; the second entry is 30.0 kJ/mol of atoms less favorable.

***

<i>
The following is a PBE calculation of a relaxed structure of Ti6ZnGa5, from the Alexandria database.

The structure belongs to space group C2/m (No. 12); the cell edges are 8.999, 8.415 and 5.266 Å and the angles 90.00°, 97.17° and 90.00°. Symmetry generates all atoms from Ti at (0.249, 0.000, 0.251), Ti at (0.249, 0.167, 0.749), Zn at (0.000, 0.500, 0.000), Ga at (0.000, 0.000, 0.500), Ga at (0.000, 0.172, 0.000) and Ga at (0.000, 0.336, 0.500).

For the density of states at the Fermi level, the calculation gives 0.948 states/eV per atom. The calculated volume comes out at 16.5 Å³ per atom.

***

<ii>
The following is a PBE calculation of a relaxed structure of Ti6ZnGa5, from the Alexandria database.

The structure belongs to space group Cmmm (No. 65); the cell edges are 4.777, 14.342 and 5.553 Å and the angles 90.00°, 90.00° and 90.00°. Symmetry generates all atoms from Ti at (0.000, 0.000, 0.246), Ti at (0.000, 0.332, 0.249), Zn at (0.000, 0.500, 0.500), Ga at (0.000, 0.164, 0.500), Ga at (0.000, 0.166, 0.000) and Ga at (0.000, 0.500, 0.000).

For the density of states at the Fermi level, the calculation gives 0.622 states/eV per atom. The calculated volume comes out at 15.9 Å³ per atom.

***

Stability ranking, top entry: <ii>; the second entry is 11.1 kJ/mol of atoms less favorable.

***

<i>
The following is a PBE calculation of a relaxed structure of Ti3Zn2Ga, from the Alexandria database.

The structure belongs to space group P4/mmm (No. 123); the cell edges are 2.835, 2.835 and 11.635 Å and the angles 90.00°, 90.00° and 90.00°. Symmetry generates all atoms from Ti at (0.000, 0.000, 0.000), Ti at (0.000, 0.000, 0.334), Zn at (0.500, 0.500, 0.166) and Ga at (0.500, 0.500, 0.500).

For the density of states at the Fermi level, the calculation gives 0.910 states/eV per atom. The calculated volume comes out at 15.6 Å³ per atom.

***

<ii>
The following is a PBE calculation of a relaxed structure of Ti3Zn2Ga, from the Alexandria database.

The structure belongs to space group Cmmm (No. 65); the cell edges are 4.003, 12.002 and 3.886 Å and the angles 90.00°, 90.00° and 90.00°. Symmetry generates all atoms from Ti at (0.000, 0.000, 0.000), Ti at (0.000, 0.334, 0.000), Zn at (0.000, 0.169, 0.500) and Ga at (0.000, 0.500, 0.500).

For the density of states at the Fermi level, the calculation gives 1.080 states/eV per atom. The calculated volume comes out at 15.6 Å³ per atom.

***

Stability ranking, top entry: <ii>; the second entry is 0.8 kJ/mol of atoms less favorable.

***

<i>
The following is a PBE calculation of a relaxed structure of Ti2ZnGa3, from the Alexandria database.

The structure belongs to space group Cmmm (No. 65); the cell edges are 3.826, 12.205 and 3.998 Å and the angles 90.00°, 90.00° and 90.00°. Symmetry generates all atoms from Ti at (0.000, 0.158, 0.000), Zn at (0.000, 0.000, 0.500), Ga at (0.000, 0.327, 0.500) and Ga at (0.000, 0.500, 0.000).

For the density of states at the Fermi level, the calculation gives 0.508 states/eV per atom. The calculated volume comes out at 15.6 Å³ per atom.

***

<ii>
The following is a PBE calculation of a relaxed structure of Ti2ZnGa3, from the Alexandria database.

The structure belongs to space group P2_1/m (No. 11); the cell edges are 5.087, 5.688 and 6.872 Å and the angles 90.00°, 106.21° and 90.00°. Symmetry generates all atoms from Ti at (0.108, 0.001, 0.317), Zn at (0.251, 0.750, 0.005), Ga at (0.238, 0.250, 0.004), Ga at (0.372, 0.750, 0.663) and Ga at (0.382, 0.250, 0.659).

For the density of states at the Fermi level, the calculation gives 0.494 states/eV per atom. The calculated volume comes out at 15.9 Å³ per atom.

***

Stability ranking, top entry: <i>; the second entry is 9.3 kJ/mol of atoms less favorable.

***

<i>
The following is a PBE calculation of a relaxed structure of Ti6ZnGa, from the Alexandria database.

The structure belongs to space group C2/m (No. 12); the cell edges are 5.791, 9.813 and 5.685 Å and the angles 90.00°, 119.37° and 90.00°. Symmetry generates all atoms from Ti at (0.001, 0.228, 0.250), Ti at (0.002, 0.500, 0.751), Zn at (0.000, 0.000, 0.000) and Ga at (0.000, 0.000, 0.500).

For the density of states at the Fermi level, the calculation gives 1.337 states/eV per atom. The calculated volume comes out at 17.6 Å³ per atom.

***

<ii>
The following is a PBE calculation of a relaxed structure of Ti6ZnGa, from the Alexandria database.

The structure belongs to space group P4/mmm (No. 123); the cell edges are 4.019, 4.019 and 8.020 Å and the angles 90.00°, 90.00° and 90.00°. Symmetry generates all atoms from Ti at (0.000, 0.000, 0.000), Ti at (0.000, 0.000, 0.500), Ti at (0.000, 0.500, 0.249), Zn at (0.500, 0.500, 0.500) and Ga at (0.500, 0.500, 0.000).

For the density of states at the Fermi level, the calculation gives 1.143 states/eV per atom. The calculated volume comes out at 16.2 Å³ per atom.

***

Stability ranking, top entry: <ii>; the second entry is 39.9 kJ/mol of atoms less favorable.